1.
The following is a GGA-PBE calculation of an optimized crystal structure of Ag5SbAu8, from Alexandria via LeMat-Bulk.

Cell lengths 8.168, 8.168, 8.233 Å; angles 90.00, 90.00, 90.00 degrees
Space group I-4 (No. 82)
Unique sites:
Ag 0.000 0.000 0.000 (multiplicity 2)
Ag 0.107 0.804 0.589 (multiplicity 8)
Sb 0.000 0.500 0.250 (multiplicity 2)
Au 0.062 0.665 0.917 (multiplicity 8)
Au 0.119 0.815 0.250 (multiplicity 8)

Values from the calculation:
DFT total energy   -3.1212 eV/atom
Crystal system   tetragonal
Density of states at the Fermi level   4.3 states/eV per cell
Raw formation energy   0.901 eV per formula unit

=====

2.
The following is a GGA-PBE calculation of an optimized crystal structure of CePu2Tl2, from Alexandria via LeMat-Bulk.

Cell lengths 5.073, 6.550, 8.291 Å; angles 90.00, 90.00, 90.00 degrees
Space group Immm (No. 71)
Unique sites:
Ce 0.000 0.000 0.000 (multiplicity 2)
Pu 0.000 0.225 0.500 (multiplicity 4)
Tl 0.000 0.500 0.187 (multiplicity 4)

Values from the calculation:
DFT total energy   -7.8673 eV/atom
Crystal system   orthorhombic
Energy relative to the elements   -0.0012 eV per atom
Density of states at the Fermi level   23.6 states/eV per cell